(i)
The following is a DFT calculation (PBE-GGA) of an optimized crystal structure of TmLuZr.

Lattice parameters (Å, degrees): 3.369 3.369 7.592 102.82 102.82 90.00
Atoms (fractional coordinates):
Lu  0.010  0.010  0.020
Zr  0.666  0.666  0.332
Tm  0.324  0.324  0.647

(ii)
The following is a DFT calculation (PBE-GGA) of an optimized crystal structure of TmLuZr.

Lattice parameters (Å, degrees): 3.369 3.369 8.290 90.00 90.00 120.00
Atoms (fractional coordinates):
Lu  0.333  0.667  0.651
Tm  0.000  0.000  0.015
Zr  0.667  0.333  0.334

Which is most stable, and by how much? (i), by 10 meV/atom.

(i)
The following is a DFT calculation (PBE-GGA) of an optimized crystal structure of LuZr2W.

Lattice parameters (Å, degrees): 3.295 3.295 9.910 80.43 80.43 60.00
Atoms (fractional coordinates):
W  0.000  0.000  0.000
Zr  0.737  0.737  0.788
Zr  0.263  0.263  0.212
Lu  0.500  0.500  0.500

(ii)
The following is a DFT calculation (PBE-GGA) of an optimized crystal structure of LuZr2W.

Lattice parameters (Å, degrees): 3.452 3.452 7.541 90.00 90.00 90.00
Atoms (fractional coordinates):
Lu  0.500  0.500  0.500
Zr  0.000  0.000  0.204
Zr  0.000  0.000  0.796
W  0.500  0.500  0.000

Which is most stable, and by how much? (ii), by 146 meV/atom.

(i)
The following is a DFT calculation (PBE-GGA) of an optimized crystal structure of YLu2.

Lattice parameters (Å, degrees): 3.492 3.492 7.852 102.85 102.85 90.00
Atoms (fractional coordinates):
Lu  0.332  0.332  0.663
Lu  0.668  0.668  0.337
Y  0.000  0.000  0.000

(ii)
The following is a DFT calculation (PBE-GGA) of an optimized crystal structure of YLu2.

Lattice parameters (Å, degrees): 6.479 6.479 6.479 60.00 60.00 60.00
Atoms (fractional coordinates):
Lu  0.625  0.625  0.625
Lu  0.125  0.625  0.625
Lu  0.625  0.625  0.125
Lu  0.625  0.125  0.625
Y  0.250  0.250  0.250
Y  0.000  0.000  0.000

Which is most stable, and by how much? (i), by 225 meV/atom.

(i)
The following is a DFT calculation (PBE-GGA) of an optimized crystal structure of YLu2Zr.

Lattice parameters (Å, degrees): 3.406 3.406 11.365 81.38 81.38 60.00
Atoms (fractional coordinates):
Zr  0.000  0.000  0.000
Y  0.500  0.500  0.500
Lu  0.255  0.255  0.234
Lu  0.745  0.745  0.766

(ii)
The following is a DFT calculation (PBE-GGA) of an optimized crystal structure of YLu2Zr.

Lattice parameters (Å, degrees): 4.807 4.818 4.818 90.00 90.00 90.00
Atoms (fractional coordinates):
Y  0.500  0.000  0.000
Zr  0.500  0.500  0.500
Lu  0.000  0.000  0.500
Lu  0.000  0.500  0.000

Which is most stable, and by how much? (i), by 12 meV/atom.

(i)
The following is a DFT calculation (PBE-GGA) of an optimized crystal structure of YLu2Zr.

Lattice parameters (Å, degrees): 3.930 3.930 7.360 90.00 90.00 90.00
Atoms (fractional coordinates):
Lu  0.000  0.000  0.778
Lu  0.000  0.000  0.222
Zr  0.500  0.500  0.000
Y  0.500  0.500  0.500

(ii)
The following is a DFT calculation (PBE-GGA) of an optimized crystal structure of YLu2Zr.

Lattice parameters (Å, degrees): 5.432 5.432 5.432 60.00 60.00 60.00
Atoms (fractional coordinates):
Lu  0.250  0.250  0.250
Lu  0.750  0.750  0.750
Y  0.500  0.500  0.500
Zr  0.000  0.000  0.000

Which is most stable, and by how much? (i), by 43 meV/atom.

(i)
The following is a DFT calculation (PBE-GGA) of an optimized crystal structure of Y2LuZr.

Lattice parameters (Å, degrees): 5.494 5.494 5.494 60.00 60.00 60.00
Atoms (fractional coordinates):
Y  0.750  0.750  0.750
Y  0.250  0.250  0.250
Zr  0.500  0.500  0.500
Lu  0.000  0.000  0.000

(ii)
The following is a DFT calculation (PBE-GGA) of an optimized crystal structure of Y2LuZr.

Lattice parameters (Å, degrees): 4.844 4.857 4.857 90.00 90.00 90.00
Atoms (fractional coordinates):
Zr  0.500  0.000  0.000
Lu  0.500  0.500  0.500
Y  0.000  0.500  0.000
Y  0.000  0.000  0.500

Which is most stable, and by how much? (ii), by 104 meV/atom.

(i)
The following is a DFT calculation (PBE-GGA) of an optimized crystal structure of YLuZr2.

Lattice parameters (Å, degrees): 3.888 3.888 6.965 90.00 90.00 90.00
Atoms (fractional coordinates):
Y  0.500  0.500  0.500
Zr  0.000  0.000  0.224
Zr  0.000  0.000  0.776
Lu  0.500  0.500  0.000

(ii)
The following is a DFT calculation (PBE-GGA) of an optimized crystal structure of YLuZr2.

Lattice parameters (Å, degrees): 4.766 4.695 4.695 90.00 90.00 90.00
Atoms (fractional coordinates):
Zr  0.000  0.500  0.000
Zr  0.000  0.000  0.500
Y  0.500  0.500  0.500
Lu  0.500  0.000  0.000

Which is most stable, and by how much? (ii), by 105 meV/atom.

(i)
The following is a DFT calculation (PBE-GGA) of an optimized crystal structure of Lu2ZrZn.

Lattice parameters (Å, degrees): 4.462 4.564 4.564 90.00 90.00 90.00
Atoms (fractional coordinates):
Zn  0.500  0.000  0.000
Lu  0.000  0.500  0.000
Lu  0.000  0.000  0.500
Zr  0.500  0.500  0.500

(ii)
The following is a DFT calculation (PBE-GGA) of an optimized crystal structure of Lu2ZrZn.

Lattice parameters (Å, degrees): 3.367 3.367 8.344 90.00 90.00 90.00
Atoms (fractional coordinates):
Zr  0.500  0.500  0.500
Lu  0.000  0.000  0.774
Lu  0.000  0.000  0.226
Zn  0.500  0.500  0.000

Which is most stable, and by how much? (ii), by 150 meV/atom.

(i)
The following is a DFT calculation (PBE-GGA) of an optimized crystal structure of Lu3Zr.

Lattice parameters (Å, degrees): 4.774 4.774 4.774 90.00 90.00 90.00
Atoms (fractional coordinates):
Lu  0.000  0.500  0.500
Lu  0.500  0.500  0.000
Lu  0.500  0.000  0.500
Zr  0.000  0.000  0.000

(ii)
The following is a DFT calculation (PBE-GGA) of an optimized crystal structure of Lu3Zr.

Lattice parameters (Å, degrees): 5.396 5.396 5.396 60.00 60.00 60.00
Atoms (fractional coordinates):
Zr  0.500  0.500  0.500
Lu  0.250  0.250  0.250
Lu  0.750  0.750  0.750
Lu  0.000  0.000  0.000

Which is most stable, and by how much? (i), by 116 meV/atom.

(i)
The following is a DFT calculation (PBE-GGA) of an optimized crystal structure of Lu3Zr.

Lattice parameters (Å, degrees): 3.428 5.355 5.998 90.00 90.00 90.00
Atoms (fractional coordinates):
Lu  0.500  0.000  0.503
Lu  0.500  0.500  0.840
Lu  0.000  0.500  0.323
Zr  0.000  0.000  0.000

(ii)
The following is a DFT calculation (PBE-GGA) of an optimized crystal structure of Lu3Zr.

Lattice parameters (Å, degrees): 4.786 4.786 5.835 114.21 114.21 90.00
Atoms (fractional coordinates):
Zr  0.000  0.000  0.000
Lu  0.250  0.750  0.500
Lu  0.750  0.250  0.500
Lu  0.500  0.500  0.000

Which is most stable, and by how much? (i), by 33 meV/atom.

(i)
The following is a DFT calculation (PBE-GGA) of an optimized crystal structure of Mg7Mn.

Lattice parameters (Å, degrees): 6.237 6.237 6.237 60.00 60.00 60.00
Atoms (fractional coordinates):
Mg  0.000  0.500  0.500
Mg  0.500  0.500  0.500
Mg  0.000  0.500  0.000
Mg  0.500  0.500  0.000
Mg  0.500  0.000  0.500
Mg  0.000  0.000  0.500
Mg  0.500  0.000  0.000
Mn  0.000  0.000  0.000

(ii)
The following is a DFT calculation (PBE-GGA) of an optimized crystal structure of Mg7Mn.

Lattice parameters (Å, degrees): 6.265 6.265 5.025 90.00 90.00 120.00
Atoms (fractional coordinates):
Mn  0.000  0.000  0.500
Mg  0.677  0.839  0.000
Mg  0.161  0.323  0.000
Mg  0.001  0.501  0.500
Mg  0.667  0.333  0.000
Mg  0.161  0.839  0.000
Mg  0.499  0.999  0.500
Mg  0.499  0.501  0.500

Which is most stable, and by how much? (ii), by 22 meV/atom.

(i)
The following is a DFT calculation (PBE-GGA) of an optimized crystal structure of Mg3Mn5.

Lattice parameters (Å, degrees): 7.660 8.094 7.433 103.73 93.10 142.29
Atoms (fractional coordinates):
Mn  0.318  0.968  0.042
Mn  0.524  0.399  0.288
Mn  0.904  0.671  0.690
Mn  0.096  0.329  0.310
Mn  0.677  0.206  0.390
Mn  0.681  0.032  0.958
Mn  0.323  0.794  0.610
Mn  0.434  0.735  0.121
Mn  0.565  0.265  0.879
Mn  0.475  0.601  0.712
Mg  0.160  0.205  0.912
Mg  0.839  0.795  0.088
Mg  0.259  0.091  0.517
Mg  0.011  0.587  0.227
Mg  0.988  0.413  0.773
Mg  0.740  0.909  0.483

(ii)
The following is a DFT calculation (PBE-GGA) of an optimized crystal structure of Mg3Mn5.

Lattice parameters (Å, degrees): 5.646 5.646 4.013 90.00 90.00 91.66
Atoms (fractional coordinates):
Mn  0.242  0.242  0.500
Mn  0.500  0.000  0.000
Mn  0.000  0.000  0.000
Mn  0.758  0.758  0.500
Mn  0.000  0.500  0.000
Mg  0.241  0.759  0.500
Mg  0.759  0.241  0.500
Mg  0.500  0.500  0.000

(iii)
The following is a DFT calculation (PBE-GGA) of an optimized crystal structure of Mg3Mn5.

Lattice parameters (Å, degrees): 7.970 7.970 4.952 90.00 90.00 120.01
Atoms (fractional coordinates):
Mn  0.333  0.667  0.500
Mn  0.667  0.333  0.000
Mn  0.000  0.205  0.250
Mn  0.667  0.333  0.500
Mn  0.795  0.000  0.750
Mn  0.000  0.795  0.750
Mn  0.205  0.000  0.250
Mn  0.205  0.205  0.750
Mn  0.333  0.667  0.000
Mn  0.795  0.795  0.250
Mg  0.000  0.396  0.750
Mg  0.000  0.604  0.250
Mg  0.396  0.396  0.250
Mg  0.604  0.604  0.750
Mg  0.604  0.000  0.250
Mg  0.396  0.000  0.750

Which is most stable, and by how much? (i), by 34 meV/atom.

(i)
The following is a DFT calculation (PBE-GGA) of an optimized crystal structure of Mg4Mn3.

Lattice parameters (Å, degrees): 5.224 5.224 5.369 90.00 90.00 120.00
Atoms (fractional coordinates):
Mn  0.000  0.500  0.000
Mn  0.500  0.000  0.000
Mn  0.500  0.500  0.000
Mg  0.667  0.333  0.500
Mg  0.000  0.000  0.754
Mg  0.333  0.667  0.500
Mg  0.000  0.000  0.246

(ii)
The following is a DFT calculation (PBE-GGA) of an optimized crystal structure of Mg4Mn3.

Lattice parameters (Å, degrees): 14.488 14.488 14.488 168.24 168.24 16.66
Atoms (fractional coordinates):
Mg  0.434  0.434  0.000
Mg  0.152  0.152  0.000
Mg  0.566  0.566  0.000
Mg  0.848  0.848  0.000
Mn  0.000  0.000  0.000
Mn  0.279  0.279  0.000
Mn  0.721  0.721  0.000

Which is most stable, and by how much? (ii), by 33 meV/atom.